[1]
Material: AcLaSbAs
Method: DFT, PBE
State: relaxed

a = 4.5795 Å, b = 4.5795 Å, c = 22.5721 Å
α = 90.00°, β = 90.00°, γ = 120.00°
Closest atoms and distances in Å follow each position.
Space group R3m (No. 160, hexagonal axes)
Unique sites:
Ac  0.0000  0.0000  0.0000  3 As 3.22, 3 Sb 3.36
La  0.0000  0.0000  0.4904  3 As 3.15, 3 Sb 3.26
Sb  0.0000  0.0000  0.2416  3 La 3.26, 3 Ac 3.36
As  0.0000  0.0000  0.7482  3 La 3.15, 3 Ac 3.22

[2]
Material: AcLaAsSe
Method: DFT, PBE
State: relaxed

ΔE to the lowest computed polymorph, eV per formula unit: 1.18

a = 7.5805 Å, b = 7.5805 Å, c = 7.5805 Å
α = 90.00°, β = 90.00°, γ = 90.00°
Closest atoms and distances in Å follow each position.
Space group F-43m (No. 216)
Unique sites:
Ac  0.0000  0.0000  0.0000  4 Se 3.28, 4 As 3.28
La  0.0000  0.0000  0.5000  4 As 3.28, 4 Se 3.28
As  0.2500  0.2500  0.7500  4 Ac 3.28, 4 La 3.28
Se  0.2500  0.2500  0.2500  4 La 3.28, 4 Ac 3.28

[3]
Material: AcLaAsSe
Method: DFT, PBE
State: relaxed

ΔE to the lowest computed polymorph, eV per formula unit: 0.00

a = 4.4271 Å, b = 4.4271 Å, c = 21.7534 Å
α = 90.00°, β = 90.00°, γ = 120.00°
Closest atoms and distances in Å follow each position.
Space group R3m (No. 160, hexagonal axes)
Unique sites:
Ac  0.0000  0.0000  0.0000  3 As 3.14, 3 Se 3.21
La  0.0000  0.0000  0.5061  3 As 3.05, 3 Se 3.13
As  0.0000  0.0000  0.2496  3 La 3.05, 3 Ac 3.14
Se  0.0000  0.0000  0.7562  3 La 3.13, 3 Ac 3.21

no.,total DFT energy (no corrections) (eV/atom)
1,-5.82
2,-5.78
3,-6.07